Here is a relaxed KOs2Br crystal from Alexandria. Energies are from PBE.

Cell and atoms, written as POSCAR:
```
KOs2Br
1.0
-1.842 3.136 4.906
1.842 -3.136 4.906
1.842 3.136 -4.906
K Os Br
1 2 1
Direct
0.000 0.000 0.000
0.356 0.856 0.500
0.497 0.497 0.000
0.706 0.206 0.500
```

Results
Energy relative to the lowest polymorph listed for this composition, meV per atom: 512.9
Formation energy without anion corrections, eV per formula unit: 3.8

Here is a relaxed ScSbP2Cl crystal from Alexandria. Energies are from PBE.

Cell and atoms, written as POSCAR:
```
ScSbP2Cl
1.0
5.075 0.000 0.000
0.000 5.075 0.000
0.000 0.000 4.956
Sc Sb P Cl
1 1 2 1
Direct
0.000 0.000 0.000
0.500 0.500 0.500
0.000 0.500 0.500
0.500 0.000 0.500
0.500 0.500 0.000
```

Results
Energy relative to the lowest polymorph listed for this composition, meV per atom: 406.2
Formation energy without anion corrections, eV per formula unit: 1.7

Here is a relaxed LaIn2P2Pd7 crystal from Alexandria. Energies are from PBE.

Cell and atoms, written as POSCAR:
```
LaIn2P2Pd7
1.0
2.902 -2.898 0.000
2.902 2.898 0.000
-2.810 0.000 13.471
La In P Pd
1 2 2 7
Direct
0.000 0.000 0.000
0.275 0.275 0.383
0.725 0.725 0.617
0.370 0.370 0.742
0.630 0.630 0.258
0.081 0.576 0.168
0.203 0.203 0.575
0.424 0.919 0.832
0.500 0.500 0.000
0.576 0.081 0.168
0.797 0.797 0.425
0.919 0.424 0.832
```

Results
ΔH_f (0 K), eV per atom: -0.48

Here is a relaxed ScTeBr crystal from Alexandria. Energies are from PBE.

Cell and atoms, written as POSCAR:
```
ScTeBr
1.0
7.042 -1.985 0.000
7.042 1.985 0.000
-0.743 0.000 7.162
Sc Te Br
2 2 2
Direct
0.000 0.000 0.000
0.243 0.243 0.919
0.587 0.587 0.778
0.841 0.841 0.724
0.159 0.159 0.239
0.411 0.411 0.191
```

Results
Formation energy without anion corrections, eV per formula unit: -4.1

Here is a relaxed Nd10Sm4Pu crystal from Alexandria. Energies are from PBE.

Cell and atoms, written as POSCAR:
```
Nd10Sm4Pu
1.0
-5.817 5.817 3.887
5.817 -5.817 3.887
5.817 5.817 -3.887
Nd Sm Pu
10 4 1
Direct
0.007 0.218 0.789
0.218 0.007 0.789
0.218 0.429 0.211
0.250 0.750 0.500
0.429 0.218 0.211
0.571 0.782 0.789
0.750 0.250 0.500
0.782 0.571 0.789
0.782 0.993 0.211
0.993 0.782 0.211
0.268 0.268 0.536
0.268 0.732 0.000
0.732 0.268 0.000
0.732 0.732 0.464
0.500 0.500 0.000
```

Results
ΔH_f (0 K), eV per atom: 0.24

Here is a relaxed ZrFeSi crystal from Alexandria. Energies are from PBE.

Cell and atoms, written as POSCAR:
```
ZrFeSi
1.0
1.895 -4.670 0.000
1.895 4.670 0.000
0.000 0.000 5.050
Zr Fe Si
2 2 2
Direct
0.214 0.786 0.750
0.786 0.214 0.250
0.077 0.923 0.250
0.923 0.077 0.750
0.500 0.500 0.000
0.500 0.500 0.500
```

Results
Formation energy without anion corrections, eV per formula unit: -1.7

Here is a relaxed BeZn2Ni crystal from Alexandria. Energies are from PBE.

Cell and atoms, written as POSCAR:
```
BeZn2Ni
1.0
2.802 0.000 0.000
0.000 2.802 0.000
0.000 0.000 6.002
Be Zn Ni
1 2 1
Direct
0.000 0.000 0.000
0.000 0.000 0.435
0.500 0.500 0.743
0.500 0.500 0.170
```

Results
ΔH_f (0 K), eV per atom: -0.16

Here is a relaxed TmGaCuRu crystal from Alexandria. Energies are from PBE.

Cell and atoms, written as POSCAR:
```
TmGaCuRu
1.0
0.000 3.203 3.203
3.203 0.000 3.203
3.203 3.203 0.000
Tm Ga Cu Ru
1 1 1 1
Direct
0.000 0.000 0.000
0.500 0.500 0.500
0.750 0.750 0.750
0.250 0.250 0.250
```

Results
ΔH_f (0 K), eV per atom: -0.28

Here is a relaxed CeAg3Cl8 crystal from Alexandria. Energies are from PBE.

Cell and atoms, written as POSCAR:
```
CeAg3Cl8
1.0
6.805 -3.955 0.000
6.805 3.955 0.000
-4.201 0.000 6.474
Ce Ag Cl
1 3 8
Direct
0.000 0.000 0.000
0.000 0.500 0.500
0.500 0.000 0.500
0.500 0.500 0.000
0.230 0.760 0.239
0.235 0.235 0.233
0.240 0.770 0.761
0.278 0.278 0.733
0.722 0.722 0.267
0.760 0.230 0.239
0.765 0.765 0.767
0.770 0.240 0.761
```

Results
Formation energy without anion corrections, eV per formula unit: -12.4

Here is a relaxed ScMoAsCl2 crystal from Alexandria. Energies are from PBE.

Cell and atoms, written as POSCAR:
```
ScMoAsCl2
1.0
4.644 0.000 0.000
0.000 4.644 0.000
0.000 0.000 6.330
Sc Mo As Cl
1 1 1 2
Direct
0.000 0.000 0.000
0.000 0.000 0.500
0.500 0.500 0.500
0.000 0.500 0.000
0.500 0.000 0.000
```

Results
Formation energy without anion corrections, eV per formula unit: 0.5

Here is a relaxed ScOs2Cl crystal from Alexandria. Energies are from PBE.

Cell and atoms, written as POSCAR:
```
ScOs2Cl
1.0
1.481 0.855 9.760
-1.481 0.855 9.760
0.000 -1.710 9.760
Sc Os Cl
1 2 1
Direct
0.000 0.000 0.000
0.256 0.256 0.256
0.522 0.522 0.522
0.728 0.728 0.728
```

Results
Energy relative to the lowest polymorph listed for this composition, meV per atom: 138.4
Formation energy without anion corrections, eV per formula unit: 0.1

Here is a relaxed InFeSb2 crystal from Alexandria. Energies are from PBE.

Cell and atoms, written as POSCAR:
```
InFeSb2
1.0
1.696 0.979 9.589
-1.696 0.979 9.589
0.000 -1.958 9.589
In Fe Sb
1 1 2
Direct
0.000 0.000 0.000
0.500 0.500 0.500
0.229 0.229 0.229
0.771 0.771 0.771
```

Results
Formation energy without anion corrections, eV per formula unit: 0.6

Here is a relaxed AlTl3Ru crystal from Alexandria. Energies are from PBE.

Cell and atoms, written as POSCAR:
```
AlTl3Ru
1.0
5.282 0.000 0.000
0.000 5.282 0.000
0.000 0.000 5.282
Al Tl Ru
1 3 1
Direct
0.000 0.000 0.000
0.000 0.000 0.500
0.000 0.500 0.000
0.500 0.000 0.000
0.500 0.500 0.500
```

Results
Energy relative to the lowest polymorph listed for this composition, meV per atom: 637.2
ΔH_f (0 K), eV per atom: 1.15

Here is a relaxed Hf2ZrOs crystal from Alexandria. Energies are from PBE.

Cell and atoms, written as POSCAR:
```
Hf2ZrOs
1.0
4.820 0.000 0.000
0.000 4.820 0.000
0.000 0.000 3.313
Hf Zr Os
2 1 1
Direct
0.000 0.500 0.000
0.500 0.000 0.000
0.000 0.000 0.500
0.500 0.500 0.500
```

Results
Energy relative to the lowest polymorph listed for this composition, meV per atom: 154.8
ΔH_f (0 K), eV per atom: -0.17

Here is a relaxed Cs3Ce3HfSe8 crystal from Alexandria. Energies are from PBE.

Cell and atoms, written as POSCAR:
```
Cs3Ce3HfSe8
1.0
4.276 2.469 8.551
-4.276 2.469 8.551
0.000 -4.938 8.551
Cs Ce Hf Se
3 3 1 8
Direct
0.000 0.500 0.500
0.500 0.000 0.500
0.500 0.500 0.000
0.000 0.000 0.500
0.000 0.500 0.000
0.500 0.000 0.000
0.500 0.500 0.500
0.230 0.230 0.230
0.252 0.713 0.713
0.287 0.287 0.748
0.287 0.748 0.287
0.713 0.252 0.713
0.713 0.713 0.252
0.748 0.287 0.287
0.770 0.770 0.770
```

Results
Formation energy without anion corrections, eV per formula unit: -24.1

Here is a relaxed BaYGa2Os crystal from Alexandria. Energies are from PBE.

Cell and atoms, written as POSCAR:
```
BaYGa2Os
1.0
5.253 0.000 0.000
0.000 5.253 0.000
0.000 0.000 6.135
Ba Y Ga Os
1 1 2 1
Direct
0.000 0.000 0.000
0.000 0.000 0.500
0.000 0.500 0.500
0.500 0.000 0.500
0.500 0.500 0.000
```

Results
ΔH_f (0 K), eV per atom: 1.76

Here is a relaxed KSr2B crystal from Alexandria. Energies are from PBE.

Cell and atoms, written as POSCAR:
```
KSr2B
1.0
0.000 3.948 3.948
3.948 0.000 3.948
3.948 3.948 0.000
K Sr B
1 2 1
Direct
0.000 0.000 0.000
0.250 0.250 0.250
0.750 0.750 0.750
0.500 0.500 0.500
```

Results
Energy relative to the lowest polymorph listed for this composition, meV per atom: 228.4
ΔH_f (0 K), eV per atom: 0.85

Here is a relaxed Ca4AgO5 crystal from Alexandria. Energies are from PBE.

Cell and atoms, written as POSCAR:
```
Ca4AgO5
1.0
-3.824 3.824 2.385
3.824 -3.824 2.385
3.824 3.824 -2.385
Ca Ag O
4 1 5
Direct
0.104 0.701 0.805
0.299 0.104 0.403
0.701 0.896 0.597
0.896 0.299 0.195
0.500 0.500 0.000
0.000 0.000 0.000
0.191 0.396 0.588
0.396 0.809 0.205
0.604 0.191 0.795
0.809 0.604 0.412
```

Results
Formation energy without anion corrections, eV per formula unit: -23.6

Here is a relaxed PmSmCdIr crystal from Alexandria. Energies are from PBE.

Cell and atoms, written as POSCAR:
```
PmSmCdIr
1.0
0.000 3.646 3.646
3.646 0.000 3.646
3.646 3.646 0.000
Pm Sm Cd Ir
1 1 1 1
Direct
0.000 0.000 0.000
0.500 0.500 0.500
0.750 0.750 0.750
0.250 0.250 0.250
```

Results
ΔH_f (0 K), eV per atom: -0.45